# GGA+U Na5WO5, relaxed
data_Na5WO5
_cell_length_a 10.870
_cell_length_b 4.392
_cell_length_c 6.482
_cell_angle_alpha 90.00
_cell_angle_beta 107.79
_cell_angle_gamma 90.00
_space_group_name_H-M_alt 'C 1 2/m 1'
_space_group_IT_number 12
loop_
_space_group_symop_operation_xyz
'x,y,z'
'-x,-y,-z'
'-x,y,-z'
'x,-y,z'
'x+1/2,y+1/2,z'
'-x+1/2,-y+1/2,-z'
'-x+1/2,y+1/2,-z'
'x+1/2,-y+1/2,z'
loop_
_atom_site_label
_atom_site_type_symbol
_atom_site_fract_x
_atom_site_fract_y
_atom_site_fract_z
_atom_site_occupancy
Na1 Na 0.000 0.000 0.000 1
Na2 Na 0.181 0.500 0.356 1
Na3 Na 0.197 0.500 0.829 1
W1 W 0.000 0.000 0.500 1
O1 O 0.000 0.500 0.500 1
O2 O 0.130 0.000 0.348 1
O3 O 0.143 0.000 0.797 1
# Energy above the lowest structure with this stoichiometry: 0.000 eV per atom
# Raw total energy: -5.21 eV/atom
# Crystal system: monoclinic